1.
Here is LaEr2Tm9 after structural relaxation from the Alexandria database. Energies are from GGA-PBE.

The structure belongs to space group P4/mmm (No. 123); the cell edges are 5.774, 5.774 and 11.205 Å and the angles 90.00°, 90.00° and 90.00°. The inequivalent atoms are La at (0.000, 0.000, 0.000), Er at (0.000, 0.000, 0.337), Tm at (0.000, 0.500, 0.175), Tm at (0.000, 0.500, 0.500), Tm at (0.500, 0.500, 0.000) and Tm at (0.500, 0.500, 0.334).

The distance to the lowest polymorph of the same formula is 0.091 eV per atom. For the total DFT energy (no corrections), the calculation gives -52.77 eV/cell. The formation enthalpy at 0 K comes out at 1.53 eV/f.u. Its mass density is 8.9 Mg/m³. Its crystal system is tetragonal.

=====

2.
Here is RhPbF2 after structural relaxation from the Alexandria database. Energies are from GGA-PBE.

The structure belongs to space group I-42d (No. 122); the cell edges are 4.087, 4.087 and 15.791 Å and the angles 90.00°, 90.00° and 90.00°. The inequivalent atoms are Rh at (0.000, 0.000, 0.000), Pb at (0.000, 0.000, 0.500) and F at (0.211, 0.250, 0.125).

The distance to the lowest polymorph of the same formula is 0.000 eV per atom. For the total DFT energy (no corrections), the calculation gives -74.49 eV/cell. Its mass density is 8.8 Mg/m³. Its uncorrected formation energy is -3.82 eV/f.u. Its crystal system is tetragonal.

=====

3.
Here is La2Y5Ho12 after structural relaxation from the Alexandria database. Energies are from GGA-PBE.

The structure belongs to space group C2/m (No. 12); the cell edges are 15.905, 9.192 and 8.525 Å and the angles 90.00°, 91.20° and 90.00°. The inequivalent atoms are La at (0.000, 0.190, 0.000), Y at (0.000, 0.500, 0.500), Y at (0.198, 0.000, 0.007), Y at (0.234, 0.500, 0.578), Ho at (0.057, 0.000, 0.328), Ho at (0.095, 0.500, 0.884), Ho at (0.126, 0.192, 0.650) and Ho at (0.157, 0.319, 0.247).

The distance to the lowest polymorph of the same formula is 0.108 eV per atom. For the total DFT energy (no corrections), the calculation gives -189.09 eV/cell. The formation enthalpy at 0 K comes out at 2.56 eV/f.u. Its mass density is 7.2 Mg/m³. Its crystal system is monoclinic.

=====

4.
Here is KMnGaBr4 after structural relaxation from the Alexandria database. Energies are from GGA-PBE.

The structure belongs to space group P2_1/m (No. 11); the cell edges are 7.398, 7.583 and 9.018 Å and the angles 90.00°, 107.29° and 90.00°. The inequivalent atoms are K at (0.213, 0.250, 0.041), Mn at (0.234, 0.750, 0.791), Ga at (0.238, 0.250, 0.528), Br at (0.002, 0.001, 0.276), Br at (0.398, 0.750, 0.073) and Br at (0.446, 0.750, 0.623).

For the total DFT energy (no corrections), the calculation gives -53.66 eV/cell. Its mass density is 3.3 Mg/m³. Its uncorrected formation energy is -6.84 eV/f.u. Its crystal system is monoclinic.

=====

5.
Here is NaLaSn2I8 after structural relaxation from the Alexandria database. Energies are from GGA-PBE.

The structure belongs to space group P2/m (No. 10); the cell edges are 7.325, 9.388 and 7.814 Å and the angles 90.00°, 91.08° and 90.00°. The inequivalent atoms are Na at (0.000, 0.000, 0.000), La at (0.000, 0.500, 0.000), Sn at (0.500, 0.241, 0.500), I at (0.246, 0.252, 0.157), I at (0.247, 0.500, 0.666) and I at (0.264, 0.000, 0.651).

For the total DFT energy (no corrections), the calculation gives -37.89 eV/cell. Its mass density is 4.4 Mg/m³. Its uncorrected formation energy is -11.24 eV/f.u. Its crystal system is monoclinic.

=====

6.
Here is CsAcPd after structural relaxation from the Alexandria database. Energies are from GGA-PBE.

The structure belongs to space group Pmmn (No. 59, origin choice 2); the cell edges are 4.634, 6.052 and 11.604 Å and the angles 90.00°, 90.00° and 90.00°. The inequivalent atoms are Cs at (0.250, 0.250, 0.165), Ac at (0.250, 0.250, 0.565) and Pd at (0.250, 0.750, 0.602).

For the total DFT energy (no corrections), the calculation gives -22.39 eV/cell. The formation enthalpy at 0 K comes out at -1.04 eV/f.u. Its mass density is 4.8 Mg/m³. Its crystal system is orthorhombic.